No. 1
This record from Alexandria describes an optimized crystal structure of CeErMnCd. The functional is PBE.

Output
The density is 8.11 g/cm³. The density of states at the Fermi level comes out at 7.13 states/eV/f.u. The energy of formation from the pure elements is 0.0423 eV/atom. The total moment is 1.97 μB per formula unit.

Cell lengths 7.298, 7.298, 7.298 Å; angles 90.00, 90.00, 90.00 degrees
Space group F-43m (No. 216)
One atom of each set of equivalent atoms:
Ce 0.000 0.000 0.000 (multiplicity 4)
Er 0.000 0.000 0.500 (multiplicity 4)
Mn 0.250 0.250 0.750 (multiplicity 4)
Cd 0.250 0.250 0.250 (multiplicity 4)

No. 2
This record from Alexandria describes an optimized crystal structure of CeErCdNi. The functional is PBE.

Output
The density is 8.52 g/cm³. The density of states at the Fermi level comes out at 7.56 states/eV/f.u. The energy of formation from the pure elements is -0.1522 eV/atom. The total moment is 0.54 μB per formula unit.

Cell lengths 7.198, 7.198, 7.198 Å; angles 90.00, 90.00, 90.00 degrees
Space group F-43m (No. 216)
One atom of each set of equivalent atoms:
Ce 0.000 0.000 0.000 (multiplicity 4)
Er 0.000 0.000 0.500 (multiplicity 4)
Cd 0.250 0.250 0.750 (multiplicity 4)
Ni 0.250 0.250 0.250 (multiplicity 4)

No. 3
This record from Alexandria describes an optimized crystal structure of CeErCdPb. The functional is PBE.

Output
The density is 9.36 g/cm³. The density of states at the Fermi level comes out at 9.43 states/eV/f.u. The energy of formation from the pure elements is -0.3106 eV/atom. The total moment is 1.14 μB per formula unit. As for the energy above the most stable polymorph in this dataset: 0.01 eV/f.u.

Cell lengths 7.633, 7.633, 7.633 Å; angles 90.00, 90.00, 90.00 degrees
Space group F-43m (No. 216)
One atom of each set of equivalent atoms:
Ce 0.000 0.000 0.000 (multiplicity 4)
Er 0.000 0.000 0.500 (multiplicity 4)
Cd 0.250 0.250 0.750 (multiplicity 4)
Pb 0.250 0.250 0.250 (multiplicity 4)

No. 4
This record from Alexandria describes an optimized crystal structure of CeErCdPb. The functional is PBE.

Output
The density is 9.45 g/cm³. The density of states at the Fermi level comes out at 8.62 states/eV/f.u. The energy of formation from the pure elements is -0.3127 eV/atom. The total moment is 1.43 μB per formula unit. As for the energy above the most stable polymorph in this dataset: 0.00 eV/f.u.

Cell lengths 5.004, 5.004, 8.802 Å; angles 90.00, 90.00, 90.00 degrees
Space group I-4m2 (No. 119)
One atom of each set of equivalent atoms:
Ce 0.000 0.000 0.000 (multiplicity 2)
Er 0.000 0.000 0.500 (multiplicity 2)
Cd 0.000 0.500 0.250 (multiplicity 2)
Pb 0.000 0.500 0.750 (multiplicity 2)

No. 5
This record from Alexandria describes an optimized crystal structure of CePmErCd. The functional is PBE.

Output
The density is 8.10 g/cm³. The density of states at the Fermi level comes out at 7.96 states/eV/f.u. The energy of formation from the pure elements is 0.0401 eV/atom. The total moment is 1.72 μB per formula unit.

Cell lengths 7.736, 7.736, 7.736 Å; angles 90.00, 90.00, 90.00 degrees
Space group F-43m (No. 216)
One atom of each set of equivalent atoms:
Ce 0.000 0.000 0.000 (multiplicity 4)
Pm 0.250 0.250 0.750 (multiplicity 4)
Er 0.000 0.000 0.500 (multiplicity 4)
Cd 0.250 0.250 0.250 (multiplicity 4)

No. 6
This record from Alexandria describes an optimized crystal structure of CeErCdPt. The functional is PBE.

Output
The density is 10.64 g/cm³. The density of states at the Fermi level comes out at 8.05 states/eV/f.u. The energy of formation from the pure elements is -0.5981 eV/atom. The total moment is 0.86 μB per formula unit.

Cell lengths 7.267, 7.267, 7.267 Å; angles 90.00, 90.00, 90.00 degrees
Space group F-43m (No. 216)
One atom of each set of equivalent atoms:
Ce 0.000 0.000 0.000 (multiplicity 4)
Er 0.000 0.000 0.500 (multiplicity 4)
Cd 0.250 0.250 0.750 (multiplicity 4)
Pt 0.250 0.250 0.250 (multiplicity 4)

No. 7
This record from Alexandria describes an optimized crystal structure of CeErPuCd. The functional is PBE.

Output
The density is 10.25 g/cm³. The density of states at the Fermi level comes out at 14.77 states/eV/f.u. The energy of formation from the pure elements is 0.0338 eV/atom. The total moment is 8.61 μB per formula unit.

Cell lengths 7.548, 7.548, 7.548 Å; angles 90.00, 90.00, 90.00 degrees
Space group F-43m (No. 216)
One atom of each set of equivalent atoms:
Ce 0.000 0.000 0.000 (multiplicity 4)
Er 0.000 0.000 0.500 (multiplicity 4)
Pu 0.250 0.250 0.750 (multiplicity 4)
Cd 0.250 0.250 0.250 (multiplicity 4)

No. 8
This record from Alexandria describes an optimized crystal structure of CeErCdRu. The functional is PBE.

Output
The density is 9.45 g/cm³. The density of states at the Fermi level comes out at 4.98 states/eV/f.u. The energy of formation from the pure elements is -0.2151 eV/atom. The total moment is 0.22 μB per formula unit. As for the energy above the most stable polymorph in this dataset: 0.59 eV/f.u.

Cell lengths 7.154, 7.154, 7.154 Å; angles 90.00, 90.00, 90.00 degrees
Space group F-43m (No. 216)
One atom of each set of equivalent atoms:
Ce 0.000 0.000 0.000 (multiplicity 4)
Er 0.000 0.000 0.500 (multiplicity 4)
Cd 0.250 0.250 0.250 (multiplicity 4)
Ru 0.250 0.250 0.750 (multiplicity 4)

No. 9
This record from Alexandria describes an optimized crystal structure of CeErCdRu. The functional is PBE.

Output
The density is 9.33 g/cm³. The density of states at the Fermi level comes out at 4.12 states/eV/f.u. The energy of formation from the pure elements is -0.3627 eV/atom. The total moment is 0.00 μB per formula unit. As for the energy above the most stable polymorph in this dataset: 0.00 eV/f.u.

Cell lengths 3.339, 3.339, 8.318 Å; angles 90.00, 90.00, 90.00 degrees
Space group P4mm (No. 99)
One atom of each set of equivalent atoms:
Ce 0.000 0.000 0.000 (multiplicity 1)
Er 0.000 0.000 0.586 (multiplicity 1)
Cd 0.500 0.500 0.303 (multiplicity 1)
Ru 0.500 0.500 0.790 (multiplicity 1)

No. 10
This record from Alexandria describes an optimized crystal structure of CeErScCd. The functional is PBE.

Output
The density is 7.17 g/cm³. The density of states at the Fermi level comes out at 7.33 states/eV/f.u. The energy of formation from the pure elements is -0.0044 eV/atom. The total moment is 1.56 μB per formula unit.

Cell lengths 7.549, 7.549, 7.549 Å; angles 90.00, 90.00, 90.00 degrees
Space group F-43m (No. 216)
One atom of each set of equivalent atoms:
Ce 0.000 0.000 0.000 (multiplicity 4)
Er 0.000 0.000 0.500 (multiplicity 4)
Sc 0.250 0.250 0.250 (multiplicity 4)
Cd 0.250 0.250 0.750 (multiplicity 4)

No. 11
This record from Alexandria describes an optimized crystal structure of CeErCdSn. The functional is PBE.

Output
The density is 8.31 g/cm³. The density of states at the Fermi level comes out at 8.21 states/eV/f.u. The energy of formation from the pure elements is -0.4255 eV/atom. The total moment is 1.07 μB per formula unit.

Cell lengths 7.549, 7.549, 7.549 Å; angles 90.00, 90.00, 90.00 degrees
Space group F-43m (No. 216)
One atom of each set of equivalent atoms:
Ce 0.000 0.000 0.000 (multiplicity 4)
Er 0.000 0.000 0.500 (multiplicity 4)
Cd 0.250 0.250 0.750 (multiplicity 4)
Sn 0.250 0.250 0.250 (multiplicity 4)

No. 12
This record from Alexandria describes an optimized crystal structure of TbCeErCd. The functional is PBE.

Output
The density is 8.76 g/cm³. The density of states at the Fermi level comes out at 8.10 states/eV/f.u. The energy of formation from the pure elements is 0.0665 eV/atom. The total moment is 0.00 μB per formula unit.

Cell lengths 7.599, 7.599, 7.599 Å; angles 90.00, 90.00, 90.00 degrees
Space group F-43m (No. 216)
One atom of each set of equivalent atoms:
Tb 0.000 0.000 0.000 (multiplicity 4)
Ce 0.250 0.250 0.250 (multiplicity 4)
Er 0.000 0.000 0.500 (multiplicity 4)
Cd 0.250 0.250 0.750 (multiplicity 4)

Number 1: electronic total energy -5.10 eV per atom. Number 2: electronic total energy -4.45 eV per atom. Number 3: electronic total energy -4.09 eV per atom. Number 4: electronic total energy -4.09 eV per atom. Number 5: electronic total energy -4.00 eV per atom. Number 6: electronic total energy -4.96 eV per atom. Number 7: electronic total energy -6.40 eV per atom. Number 8: electronic total energy -5.39 eV per atom. Number 9: electronic total energy -5.53 eV per atom. Number 10: electronic total energy -4.44 eV per atom. Number 11: electronic total energy -4.28 eV per atom. Number 12: electronic total energy -3.94 eV per atom.